DFT (PBE-GGA) results for a relaxed structure of SbOs2Pt.

Results
- final energy (eV/atom) = -7.739
- density of states at the Fermi level (states/eV/f.u.) = 2.5
- energy relative to the elements, uncorrected (eV/atom) = 0.417

Cell lengths 9.164, 2.968, 4.878 Å; angles 90.00, 99.40, 90.00 degrees
Space group Cm (No. 8)
Unique sites:
Sb (0.000, 0.000, 0.000) x2
Os (0.255, 0.500, 0.283) x2
Os (0.493, 0.000, 0.484) x2
Pt (0.241, 0.000, 0.743) x2